i | A relaxed structure of InPb2N. Source: Alexandria via LeMat-Bulk, functional PBE-GGA.

a = 7.3548 Å, b = 7.3548 Å, c = 7.6573 Å
α = 90.00°, β = 90.00°, γ = 90.00°
Space group I-42d (No. 122)
Inequivalent atoms, fractional coordinates:
In  0.0000  0.0000  0.0000
Pb  0.1591  0.7500  0.6250
N  0.0000  0.0000  0.5000

***

ii | A relaxed structure of InPb2N. Source: Alexandria via LeMat-Bulk, functional PBE-GGA.

a = 7.2337 Å, b = 7.2337 Å, c = 7.2337 Å
α = 90.00°, β = 90.00°, γ = 90.00°
Space group Fm-3m (No. 225)
Inequivalent atoms, fractional coordinates:
In  0.0000  0.0000  0.0000
Pb  0.2500  0.2500  0.2500
N  0.0000  0.0000  0.5000

***

Which one sits at the bottom of the stability order? ii does.

***

i | A relaxed structure of InPbSe2N. Source: Alexandria via LeMat-Bulk, functional PBE-GGA.

a = 5.4489 Å, b = 5.4489 Å, c = 4.2328 Å
α = 90.00°, β = 90.00°, γ = 90.00°
Space group P4/mmm (No. 123)
Inequivalent atoms, fractional coordinates:
In  0.0000  0.0000  0.0000
Pb  0.5000  0.5000  0.5000
Se  0.0000  0.5000  0.0000
N  0.0000  0.0000  0.5000

***

ii | A relaxed structure of InPbSe2N. Source: Alexandria via LeMat-Bulk, functional PBE-GGA.

a = 5.5848 Å, b = 5.5848 Å, c = 4.4705 Å
α = 90.00°, β = 90.00°, γ = 90.00°
Space group P4/mmm (No. 123)
Inequivalent atoms, fractional coordinates:
In  0.0000  0.0000  0.0000
Pb  0.5000  0.5000  0.5000
Se  0.0000  0.5000  0.5000
N  0.5000  0.5000  0.0000

***

Which one sits at the bottom of the stability order? ii does.

***

i | A relaxed structure of InTePbN2. Source: Alexandria via LeMat-Bulk, functional PBE-GGA.

a = 4.4718 Å, b = 4.4718 Å, c = 6.4254 Å
α = 90.00°, β = 90.00°, γ = 90.00°
Space group P4/mmm (No. 123)
Inequivalent atoms, fractional coordinates:
In  0.0000  0.0000  0.0000
Te  0.5000  0.5000  0.0000
Pb  0.5000  0.5000  0.5000
N  0.0000  0.5000  0.5000

***

ii | A relaxed structure of InTePbN2. Source: Alexandria via LeMat-Bulk, functional PBE-GGA.

a = 4.4738 Å, b = 4.4738 Å, c = 5.9879 Å
α = 90.00°, β = 90.00°, γ = 90.00°
Space group P4/mmm (No. 123)
Inequivalent atoms, fractional coordinates:
In  0.0000  0.0000  0.0000
Te  0.0000  0.0000  0.5000
Pb  0.5000  0.5000  0.5000
N  0.0000  0.5000  0.0000

***

Which one sits at the bottom of the stability order? i does.

***

i | A relaxed structure of InPdSe2N. Source: Alexandria via LeMat-Bulk, functional PBE-GGA.

a = 5.2921 Å, b = 5.2921 Å, c = 3.7322 Å
α = 90.00°, β = 90.00°, γ = 90.00°
Space group P4/mmm (No. 123)
Inequivalent atoms, fractional coordinates:
In  0.0000  0.0000  0.0000
Pd  0.5000  0.5000  0.5000
Se  0.0000  0.5000  0.5000
N  0.5000  0.5000  0.0000

***

ii | A relaxed structure of InPdSe2N. Source: Alexandria via LeMat-Bulk, functional PBE-GGA.

a = 5.3456 Å, b = 5.3456 Å, c = 4.0061 Å
α = 90.00°, β = 90.00°, γ = 90.00°
Space group P4/mmm (No. 123)
Inequivalent atoms, fractional coordinates:
In  0.0000  0.0000  0.0000
Pd  0.5000  0.5000  0.5000
Se  0.0000  0.5000  0.0000
N  0.0000  0.0000  0.5000

***

Which one sits at the bottom of the stability order? ii does.

***

i | A relaxed structure of InPdSeN2. Source: Alexandria via LeMat-Bulk, functional PBE-GGA.

a = 4.1329 Å, b = 4.1329 Å, c = 5.7080 Å
α = 90.00°, β = 90.00°, γ = 90.00°
Space group P4/mmm (No. 123)
Inequivalent atoms, fractional coordinates:
In  0.0000  0.0000  0.0000
Pd  0.5000  0.5000  0.5000
Se  0.0000  0.0000  0.5000
N  0.0000  0.5000  0.0000

***

ii | A relaxed structure of InPdSeN2. Source: Alexandria via LeMat-Bulk, functional PBE-GGA.

a = 4.0683 Å, b = 4.0683 Å, c = 5.6442 Å
α = 90.00°, β = 90.00°, γ = 90.00°
Space group P4/mmm (No. 123)
Inequivalent atoms, fractional coordinates:
In  0.0000  0.0000  0.0000
Pd  0.5000  0.5000  0.5000
Se  0.5000  0.5000  0.0000
N  0.0000  0.5000  0.5000

***

Which one sits at the bottom of the stability order? i does.

***

i | A relaxed structure of InTePdN2. Source: Alexandria via LeMat-Bulk, functional PBE-GGA.

a = 4.1583 Å, b = 4.1583 Å, c = 6.3018 Å
α = 90.00°, β = 90.00°, γ = 90.00°
Space group P4/mmm (No. 123)
Inequivalent atoms, fractional coordinates:
In  0.0000  0.0000  0.0000
Te  0.0000  0.0000  0.5000
Pd  0.5000  0.5000  0.5000
N  0.0000  0.5000  0.0000

***

ii | A relaxed structure of InTePdN2. Source: Alexandria via LeMat-Bulk, functional PBE-GGA.

a = 4.1647 Å, b = 4.1647 Å, c = 5.9641 Å
α = 90.00°, β = 90.00°, γ = 90.00°
Space group P4/mmm (No. 123)
Inequivalent atoms, fractional coordinates:
In  0.0000  0.0000  0.0000
Te  0.5000  0.5000  0.0000
Pd  0.5000  0.5000  0.5000
N  0.0000  0.5000  0.5000

***

Which one sits at the bottom of the stability order? i does.